# GeAs2F, optimized geometry, DFT PBEsol
# Space group: No. 225
# Energy above the lowest structure with this stoichiometry, eV per atom: 0.000
# Uncorrected formation energy, eV per formula unit: -1.10
data_GeAs2F
_chemical_formula_sum 'Ge1 As2 F1'
_space_group_name_H-M_alt 'P 1'
_space_group_IT_number 1
_cell_length_a 4.439
_cell_length_b 4.439
_cell_length_c 4.439
_cell_angle_alpha 60.00
_cell_angle_beta 60.00
_cell_angle_gamma 60.00
loop_
_space_group_symop_operation_xyz
'x,y,z'
loop_
_atom_site_label
_atom_site_type_symbol
_atom_site_fract_x
_atom_site_fract_y
_atom_site_fract_z
_atom_site_occupancy
Ge1 Ge 0.000 0.000 0.000 1
As1 As 0.250 0.250 0.250 1
As2 As 0.750 0.750 0.750 1
F1 F 0.500 0.500 0.500 1